TaNbAl2Ni2 | PBE | relaxed

## Properties
Spin magnetization   0.01 Bohr magnetons per cell
Final energy   -7.107 eV per atom
Symmetry   No. 6

Lattice parameters (Å, degrees): 8.1525 4.0763 12.2290 90.00 109.47 90.00
Sites, in units of the cell vectors:
Ta 0.0000 0.0000 0.0000
Ta 0.1249 0.5000 0.7498
Ta 0.2501 0.0000 0.4998
Ta 0.5001 0.0000 0.9999
Nb 0.3752 0.5000 0.2500
Nb 0.6251 0.5000 0.7498
Nb 0.7499 0.0000 0.4998
Nb 0.8750 0.5000 0.2500
Al 0.0003 0.5000 0.5000
Al 0.1250 0.0000 0.2499
Al 0.2500 0.5000 0.9998
Al 0.3748 0.0000 0.7499
Al 0.4998 0.5000 0.4999
Al 0.6250 0.0000 0.2498
Al 0.7501 0.5000 0.9999
Al 0.8753 0.0000 0.7500
Ni 0.0624 0.5000 0.1244
Ni 0.1875 0.0000 0.8749
Ni 0.3121 0.5000 0.6248
Ni 0.4373 0.0000 0.3751
Ni 0.5622 0.5000 0.1244
Ni 0.6877 0.0000 0.8753
Ni 0.8131 0.5000 0.6251
Ni 0.9381 0.0000 0.3752

PmTcPt | PBE | relaxed

## Properties
Spin magnetization   9.51 Bohr magnetons per cell
Polymorph energy (0 for the lowest one)   542 meV per atom
Final energy   -6.347 eV per atom
ΔH_f (0 K)   16.31 kcal/mol of atoms
Symmetry   No. 216

Lattice parameters (Å, degrees): 6.5390 6.5390 6.5390 90.00 90.00 90.00
Sites, in units of the cell vectors:
Pm 0.0000 0.0000 0.0000
Pm 0.0000 0.5000 0.5000
Pm 0.5000 0.0000 0.5000
Pm 0.5000 0.5000 0.0000
Tc 0.2500 0.2500 0.2500
Tc 0.2500 0.7500 0.7500
Tc 0.7500 0.2500 0.7500
Tc 0.7500 0.7500 0.2500
Pt 0.2500 0.2500 0.7500
Pt 0.2500 0.7500 0.2500
Pt 0.7500 0.2500 0.2500
Pt 0.7500 0.7500 0.7500

Dy2Tm3ScSb2Os | PBE | relaxed

## Properties
Spin magnetization   0.01 Bohr magnetons per cell
Final energy   -6.043 eV per atom
Symmetry   No. 38

Lattice parameters (Å, degrees): 4.1475 8.0317 8.0317 119.69 90.00 90.00
Sites, in units of the cell vectors:
Dy 0.0000 0.1964 0.8036
Dy 0.0000 0.8036 0.1964
Tm 0.5000 0.0383 0.0383
Tm 0.5000 0.5624 0.7995
Tm 0.5000 0.7995 0.5624
Sc 0.0000 0.4144 0.4144
Sb 0.5000 0.1421 0.4677
Sb 0.5000 0.4677 0.1421
Os 0.0000 0.7981 0.7981

NbReNiB | PBE | relaxed

## Properties
Spin magnetization   0.91 Bohr magnetons per cell
Polymorph energy (0 for the lowest one)   460 meV per atom
Final energy   -8.053 eV per atom
Symmetry   No. 216

Lattice parameters (Å, degrees): 5.9566 5.9566 5.9566 90.00 90.00 90.00
Sites, in units of the cell vectors:
Nb 0.0000 0.0000 0.0000
Nb 0.0000 0.5000 0.5000
Nb 0.5000 0.0000 0.5000
Nb 0.5000 0.5000 0.0000
Re 0.2500 0.2500 0.7500
Re 0.2500 0.7500 0.2500
Re 0.7500 0.2500 0.2500
Re 0.7500 0.7500 0.7500
Ni 0.0000 0.0000 0.5000
Ni 0.0000 0.5000 0.0000
Ni 0.5000 0.0000 0.0000
Ni 0.5000 0.5000 0.5000
B 0.2500 0.2500 0.2500
B 0.2500 0.7500 0.7500
B 0.7500 0.2500 0.7500
B 0.7500 0.7500 0.2500

NdGdTlFe2 | PBE | relaxed

## Properties
Spin magnetization   3.70 Bohr magnetons per cell
Final energy   -5.776 eV per atom
Symmetry   No. 38

Lattice parameters (Å, degrees): 3.9857 3.9068 14.2160 90.00 90.00 90.00
Sites, in units of the cell vectors:
Nd 0.0000 0.0000 0.0000
Nd 0.0000 0.5000 0.5000
Gd 0.0000 0.0000 0.2755
Gd 0.0000 0.5000 0.7755
Tl 0.5000 0.0000 0.6402
Tl 0.5000 0.5000 0.1402
Fe 0.5000 0.0000 0.4241
Fe 0.5000 0.0000 0.8439
Fe 0.5000 0.5000 0.3439
Fe 0.5000 0.5000 0.9241

LiBePd2 | PBE | relaxed

## Properties
Final energy   -4.213 eV per atom
Symmetry   No. 216

Lattice parameters (Å, degrees): 5.9625 5.9625 5.9625 90.00 90.00 90.00
Sites, in units of the cell vectors:
Li 0.0000 0.0000 0.0000
Li 0.0000 0.5000 0.5000
Li 0.5000 0.0000 0.5000
Li 0.5000 0.5000 0.0000
Be 0.2500 0.2500 0.2500
Be 0.2500 0.7500 0.7500
Be 0.7500 0.2500 0.7500
Be 0.7500 0.7500 0.2500
Pd 0.0000 0.0000 0.5000
Pd 0.0000 0.5000 0.0000
Pd 0.2500 0.2500 0.7500
Pd 0.2500 0.7500 0.2500
Pd 0.5000 0.0000 0.0000
Pd 0.5000 0.5000 0.5000
Pd 0.7500 0.2500 0.2500
Pd 0.7500 0.7500 0.7500

Lu4FeAuN2 | PBE | relaxed

## Properties
Spin magnetization   2.22 Bohr magnetons per cell
Polymorph energy (0 for the lowest one)   0 meV per atom
Final energy   -6.692 eV per atom
Symmetry   No. 187

Lattice parameters (Å, degrees): 3.3518 3.3518 14.3207 90.00 90.00 120.00
Sites, in units of the cell vectors:
Lu 0.0000 0.0000 0.1494
Lu 0.0000 0.0000 0.8506
Lu 0.6667 0.3333 0.3396
Lu 0.6667 0.3333 0.6604
Fe 0.6667 0.3333 0.0000
Au 0.0000 0.0000 0.5000
N 0.3333 0.6667 0.2493
N 0.3333 0.6667 0.7507

TlFeS2 | PBE | relaxed

## Properties
Spin magnetization   2.95 Bohr magnetons per cell
Final energy   -5.020 eV per atom
Symmetry   No. 194

Lattice parameters (Å, degrees): 3.3695 3.3695 15.6996 90.00 90.00 120.00
Sites, in units of the cell vectors:
Tl 0.3333 0.6667 0.2500
Tl 0.6667 0.3333 0.7500
Fe 0.0000 0.0000 0.0000
Fe 0.0000 0.0000 0.5000
S 0.3333 0.6667 0.5773
S 0.3333 0.6667 0.9227
S 0.6667 0.3333 0.0773
S 0.6667 0.3333 0.4227

Hf2ZrNi2As4Pd2 | PBE | relaxed

## Properties
Spin magnetization   0.00 Bohr magnetons per cell
Polymorph energy (0 for the lowest one)   13 meV per atom
Final energy   -7.019 eV per atom
Symmetry   No. 6

Lattice parameters (Å, degrees): 6.4931 3.8693 7.5582 90.00 91.27 90.00
Sites, in units of the cell vectors:
Hf 0.0000 0.0000 0.0000
Hf 0.0624 0.5000 0.3679
Zr 0.5013 0.0000 0.8652
Ni 0.3859 0.0000 0.2368
Ni 0.6823 0.5000 0.1245
As 0.2999 0.5000 0.0708
As 0.3199 0.0000 0.5416
As 0.7621 0.0000 0.2963
As 0.7782 0.5000 0.8124
Pd 0.1793 0.5000 0.7418
Pd 0.8988 0.0000 0.6118

HfBeTeW | PBE | relaxed

## Properties
Spin magnetization   0.00 Bohr magnetons per cell
Polymorph energy (0 for the lowest one)   0 meV per atom
Final energy   -7.005 eV per atom
Symmetry   No. 216

Lattice parameters (Å, degrees): 6.4983 6.4983 6.4983 90.00 90.00 90.00
Sites, in units of the cell vectors:
Hf 0.0000 0.0000 0.0000
Hf 0.0000 0.5000 0.5000
Hf 0.5000 0.0000 0.5000
Hf 0.5000 0.5000 0.0000
Be 0.2500 0.2500 0.7500
Be 0.2500 0.7500 0.2500
Be 0.7500 0.2500 0.2500
Be 0.7500 0.7500 0.7500
Te 0.2500 0.2500 0.2500
Te 0.2500 0.7500 0.7500
Te 0.7500 0.2500 0.7500
Te 0.7500 0.7500 0.2500
W 0.0000 0.0000 0.5000
W 0.0000 0.5000 0.0000
W 0.5000 0.0000 0.0000
W 0.5000 0.5000 0.5000

SmGeAu | PBE | relaxed

## Properties
Spin magnetization   0.01 Bohr magnetons per cell
Final energy   -4.690 eV per atom
Symmetry   No. 189

Lattice parameters (Å, degrees): 7.9370 7.9370 3.8045 90.00 90.00 120.00
Sites, in units of the cell vectors:
Sm 0.0000 0.2823 0.0000
Sm 0.2823 0.0000 0.0000
Sm 0.7177 0.7177 0.0000
Ge 0.0000 0.0000 0.5000
Ge 0.3333 0.6667 0.0000
Ge 0.6667 0.3333 0.0000
Au 0.0000 0.6242 0.5000
Au 0.3758 0.3758 0.5000
Au 0.6242 0.0000 0.5000

YEr2Mg3Ir3 | PBE | relaxed

## Properties
Spin magnetization   0.00 Bohr magnetons per cell
Final energy   -5.892 eV per atom
Symmetry   No. 38

Lattice parameters (Å, degrees): 4.0398 7.2321 7.2321 120.17 90.00 90.00
Sites, in units of the cell vectors:
Y 0.0000 0.0000 0.0000
Er 0.0000 0.1823 0.5902
Er 0.0000 0.5902 0.1823
Mg 0.5000 0.3438 0.3438
Mg 0.5000 0.5905 0.8356
Mg 0.5000 0.8356 0.5905
Ir 0.0000 0.5873 0.5873
Ir 0.5000 0.2599 0.9223
Ir 0.5000 0.9223 0.2599